[1]
Material: DyYTm2Cd2
Method: DFT, PBE-GGA
State: optimized geometry

a = 5.3457 Å, b = 8.6287 Å, c = 8.6287 Å
α = 24.21°, β = 90.00°, γ = 90.00°
Element x y z (fractional)
Cd  0.0000  0.0689  0.0689
Cd  0.5000  0.9308  0.9308
Dy  0.0000  0.4104  0.4104
Tm  0.5000  0.2748  0.2748
Tm  0.0000  0.7258  0.7258
Y  0.5000  0.5893  0.5893

symmetry = Amm2, No. 38
E_form = -0.232 eV/atom

=====

[2]
Material: Pm2PrC3
Method: DFT, PBE-GGA
State: optimized geometry

a = 3.7548 Å, b = 3.7548 Å, c = 9.1938 Å
α = 90.00°, β = 90.00°, γ = 120.00°
Element x y z (fractional)
C  0.0000  0.0000  0.0000
C  0.3333  0.6667  0.3290
C  0.6667  0.3333  0.6710
Pm  0.6667  0.3333  0.1649
Pm  0.3333  0.6667  0.8351
Pr  0.0000  0.0000  0.5000

total DFT energy (no corrections) = -6.699 eV/atom
symmetry = P-3m1, No. 164